1.
# Dy3Ho3Tm2

An optimized crystal structure of Dy3Ho3Tm2 (GGA-PBE, the Alexandria database).

The calculated formation energy is 0.02 eV/atom. For the raw total energy, the calculation gives -36.30 eV per cell.

Unit cell a=7.854 b=7.854 c=6.086 alpha=105.02 beta=105.02 gamma=126.75
Positions (direct):
Dy  0.000  0.000  0.000
Dy  0.375  0.625  0.500
Dy  0.625  0.375  0.500
Ho  0.125  0.875  0.500
Ho  0.500  0.500  0.000
Ho  0.875  0.125  0.500
Tm  0.250  0.750  0.000
Tm  0.750  0.250  0.000


2.
# Dy3Tm7Tl

An optimized crystal structure of Dy3Tm7Tl (GGA-PBE, the Alexandria database).

The calculated formation energy is 0.15 eV/atom. For the raw total energy, the calculation gives -45.78 eV per cell.

Unit cell a=6.884 b=6.884 c=8.433 alpha=90.00 beta=90.00 gamma=120.00
Positions (direct):
Dy  0.003  0.501  0.000
Dy  0.499  0.501  0.000
Dy  0.499  0.997  0.000
Tm  0.170  0.340  0.340
Tm  0.170  0.830  0.340
Tm  0.333  0.667  0.673
Tm  0.335  0.167  0.662
Tm  0.660  0.830  0.340
Tm  0.833  0.167  0.662
Tm  0.833  0.665  0.662
Tl  0.667  0.333  0.340